# 1
The following is a DFT calculation (SCAN) of a PBEsol-optimized structure of CaFeAu3.

abc: 5.1194 5.1194 5.1194
angles: 90.00 90.00 90.00
Space group Pm-3m (No. 221)
Unique sites:
Ca  0.0000  0.0000  0.0000
Fe  0.5000  0.5000  0.5000
Au  0.0000  0.0000  0.5000

Output
* crystal system: cubic
* energy of formation: 1.017 eV per atom
* E_tot: -46.036 eV/atom

---

# 2
The following is a DFT calculation (SCAN) of a PBEsol-optimized structure of CaFe2Au.

abc: 3.9239 3.9239 4.1633
angles: 90.00 90.00 90.00
Space group P4/mmm (No. 123)
Unique sites:
Ca  0.0000  0.0000  0.0000
Fe  0.0000  0.5000  0.5000
Au  0.5000  0.5000  0.0000

Output
* crystal system: tetragonal
* energy of formation: 0.174 eV per atom
* E_tot: -28.596 eV/atom

---

# 3
The following is a DFT calculation (SCAN) of a PBEsol-optimized structure of CaFeAu2.

abc: 3.0163 3.0163 27.3783
angles: 90.00 90.00 120.00
Space group R3m (No. 160, hexagonal axes)
Unique sites:
Ca  0.0000  0.0000  0.0000
Fe  0.0000  0.0000  0.7528
Au  0.0000  0.0000  0.2441
Au  0.0000  0.0000  0.4921

Output
* crystal system: trigonal
* energy of formation: 0.220 eV per atom
* E_tot: -41.307 eV/atom

---

# 4
The following is a DFT calculation (SCAN) of a PBEsol-optimized structure of Ca3GaAu.

abc: 5.5608 5.5608 5.5608
angles: 90.00 90.00 90.00
Space group Pm-3m (No. 221)
Unique sites:
Ca  0.0000  0.0000  0.5000
Ga  0.0000  0.0000  0.0000
Au  0.5000  0.5000  0.5000

Output
* crystal system: cubic
* energy of formation: -0.095 eV per atom
* E_tot: -22.993 eV/atom

---

# 5
The following is a DFT calculation (SCAN) of a PBEsol-optimized structure of CaGaAu3.

abc: 9.0458 9.0458 9.0458
angles: 90.00 90.00 90.00
Space group Pa-3 (No. 205)
Unique sites:
Ca  0.1050  0.1050  0.1050
Ga  0.1016  0.6016  0.8984
Au  0.0808  0.7374  0.1453

Output
* crystal system: cubic
* energy of formation: -0.696 eV per atom
* E_tot: -47.392 eV/atom

---

# 6
The following is a DFT calculation (SCAN) of a PBEsol-optimized structure of CaGaAu.

abc: 7.2026 4.5193 7.6104
angles: 90.00 90.00 90.00
Space group Pnma (No. 62)
Unique sites:
Ca  0.0064  0.2500  0.1978
Ga  0.1784  0.2500  0.5789
Au  0.2046  0.7500  0.4051

Output
* crystal system: orthorhombic
* energy of formation: -0.900 eV per atom
* E_tot: -32.622 eV/atom

---

# 7
The following is a DFT calculation (SCAN) of a PBEsol-optimized structure of Ca2Ga7Au.

abc: 4.1768 4.1768 11.1212
angles: 90.00 90.00 90.00
Space group P4mm (No. 99)
Unique sites:
Ca  0.0000  0.0000  0.0000
Ca  0.5000  0.5000  0.4999
Ga  0.0000  0.0000  0.3878
Ga  0.0000  0.5000  0.2486
Ga  0.0000  0.5000  0.7526
Ga  0.5000  0.5000  0.1115
Ga  0.5000  0.5000  0.8917
Au  0.0000  0.0000  0.6115

Output
* crystal system: tetragonal
* energy of formation: -0.554 eV per atom
* E_tot: -20.845 eV/atom

---

# 8
The following is a DFT calculation (SCAN) of a PBEsol-optimized structure of CaSnGeAu2.

abc: 5.1225 5.1225 5.2284
angles: 90.00 90.00 90.00
Space group P4/mmm (No. 123)
Unique sites:
Ca  0.0000  0.0000  0.0000
Sn  0.5000  0.5000  0.5000
Ge  0.5000  0.5000  0.0000
Au  0.0000  0.5000  0.5000

Output
* crystal system: tetragonal
* energy of formation: 0.082 eV per atom
* E_tot: -40.516 eV/atom